Entry 1:
{
  "formula": "Tl2TcNi",
  "functional": "GGA-PBE",
  "state": "optimized geometry",
  "formation_enthalpy_0k_ev_per_atom": 0.477,
  "density_g_cm3": 11.3,
  "total_energy_ev_per_atom": -4.7430,
  "lattice_angstrom": [[2.9669, 0.0000, 0.0000], [0.0000, 2.9669, 0.0000], [0.0000, 0.0000, 9.4109]],
  "species": ["Tl", "Tl", "Tc", "Ni"],
  "frac_coords": [[0.0000, 0.0000, 0.0000], [0.5000, 0.5000, 0.3686], [0.5000, 0.5000, 0.7523], [0.0000, 0.0000, 0.6066]]
}


Entry 2:
{
  "formula": "Tl2TcNi",
  "functional": "GGA-PBE",
  "state": "optimized geometry",
  "formation_enthalpy_0k_ev_per_atom": 0.732,
  "density_g_cm3": 12.7,
  "total_energy_ev_per_atom": -4.4877,
  "lattice_angstrom": [[-1.6167, 2.5840, 4.4314], [1.6167, -2.5840, 4.4314], [1.6167, 2.5840, -4.4314]],
  "species": ["Tl", "Tl", "Tc", "Ni"],
  "frac_coords": [[0.2325, 0.2325, 0.0000], [0.7675, 0.7675, 0.0000], [0.5000, 0.0000, 0.5000], [0.0000, 0.5000, 0.5000]]
}


Entry 3:
{
  "formula": "TlTc2Ni",
  "functional": "GGA-PBE",
  "state": "optimized geometry",
  "formation_enthalpy_0k_ev_per_atom": 0.555,
  "density_g_cm3": 12.2,
  "total_energy_ev_per_atom": -6.6648,
  "lattice_angstrom": [[3.3474, 0.0000, 0.0000], [0.0000, 4.0789, 0.0000], [0.0000, 0.0000, 4.5725]],
  "species": ["Tl", "Tc", "Tc", "Ni"],
  "frac_coords": [[0.0000, 0.0000, 0.0000], [0.0000, 0.5000, 0.5000], [0.5000, 0.0000, 0.5000], [0.5000, 0.5000, 0.0000]]
}


Entry 4:
{
  "formula": "Tl2TcNi",
  "functional": "GGA-PBE",
  "state": "optimized geometry",
  "formation_enthalpy_0k_ev_per_atom": 0.858,
  "density_g_cm3": 11.7,
  "total_energy_ev_per_atom": -4.3615,
  "lattice_angstrom": [[-3.6906, 3.6906, 2.9358], [3.6906, -3.6906, 2.9358], [3.6906, 3.6906, -2.9358]],
  "species": ["Tl", "Tl", "Tl", "Tl", "Tc", "Tc", "Ni", "Ni"],
  "frac_coords": [[0.0994, 0.1250, 0.4744], [0.3750, 0.9006, 0.0256], [0.6506, 0.6250, 0.5256], [0.8750, 0.3494, 0.9744], [0.2500, 0.7500, 0.5000], [0.5000, 0.5000, 0.0000], [0.0000, 0.0000, 0.0000], [0.7500, 0.2500, 0.5000]]
}


What did the first record say?
{
  "formula": "Tl2TcNi",
  "functional": "GGA-PBE",
  "state": "optimized geometry",
  "formation_enthalpy_0k_ev_per_atom": 0.477,
  "density_g_cm3": 11.3,
  "total_energy_ev_per_atom": -4.7430,
  "lattice_angstrom": [[2.9669, 0.0000, 0.0000], [0.0000, 2.9669, 0.0000], [0.0000, 0.0000, 9.4109]],
  "species": ["Tl", "Tl", "Tc", "Ni"],
  "frac_coords": [[0.0000, 0.0000, 0.0000], [0.5000, 0.5000, 0.3686], [0.5000, 0.5000, 0.7523], [0.0000, 0.0000, 0.6066]]
}